1.
## Ho3Er2Mg3 (PBE-GGA)

Data for a geometry-optimized Ho3Er2Mg3 structure.

Cell: 6.8679 6.8679 5.5559 Å, 90.00 90.00 120.00°
Closest atoms and distances in Å follow each position.
Fractional positions:
Ho 0.8317 0.6634 0.5000  4 Ho 3.40-3.47, 4 Er 3.40-3.43, 4 Mg 3.41
Ho 0.3366 0.1683 0.5000  4 Ho 3.40-3.47, 4 Er 3.40-3.43, 4 Mg 3.41
Ho 0.8317 0.1683 0.5000  4 Ho 3.40-3.47, 4 Er 3.40-3.43, 4 Mg 3.41
Er 0.6667 0.3333 0.0000  6 Ho 3.40, 6 Mg 3.43
Er 0.3333 0.6667 0.5000  6 Ho 3.43, 6 Mg 3.44
Mg 0.1627 0.8373 0.0000  4 Mg 3.35-3.51, 4 Ho 3.41, 4 Er 3.43-3.44
Mg 0.1627 0.3255 0.0000  4 Mg 3.35-3.51, 4 Ho 3.41, 4 Er 3.43-3.44
Mg 0.6745 0.8373 0.0000  4 Mg 3.35-3.51, 4 Ho 3.41, 4 Er 3.43-3.44

symmetry = P-6m2 (187)
excess energy over the best structure of this formula in the dataset = 0.44 eV per formula unit


2.
## TbNpIn (PBE-GGA)

Data for a geometry-optimized TbNpIn structure.

Cell: 5.2020 5.2020 5.2020 Å, 60.00 60.00 60.00°
Closest atoms and distances in Å follow each position.
Fractional positions:
Np 0.2500 0.2500 0.2500  4 In 3.19
In 0.0000 0.0000 0.0000  4 Tb 3.19, 4 Np 3.19
Tb 0.7500 0.7500 0.7500  4 In 3.19

symmetry = F-43m (216)
total DFT energy (no corrections) = -18.8 eV per cell


3.
## GaMo4AsN2 (PBE-GGA)

Data for a geometry-optimized GaMo4AsN2 structure.

Cell: 2.9709 2.9709 13.6025 Å, 90.00 90.00 120.00°
Closest atoms and distances in Å follow each position.
Fractional positions:
N 0.3333 0.6667 0.2457  6 Mo 2.15-2.18
N 0.3333 0.6667 0.7543  6 Mo 2.15-2.18
Mo 0.6667 0.3333 0.8527  3 N 2.18
Mo 0.0000 0.0000 0.3409  3 N 2.15
Mo 0.6667 0.3333 0.1473  3 N 2.18
Mo 0.0000 0.0000 0.6591  3 N 2.15
As 0.0000 0.0000 0.0000  6 Mo 2.64
Ga 0.6667 0.3333 0.5000  6 Mo 2.76, 6 Ga 2.97

symmetry = P-6m2 (187)
total DFT energy (no corrections) = -68.2 eV per cell


4.
## LuMgAu2 (PBE-GGA)

Data for a geometry-optimized LuMgAu2 structure.

Cell: 4.6175 4.6175 8.8554 Å, 90.00 90.00 120.00°
Closest atoms and distances in Å follow each position.
Fractional positions:
Au 0.6667 0.3333 0.0870  3 Mg 2.78, 4 Au 2.89-3.08, 4 Lu 2.98-3.03
Au 0.3333 0.6667 0.9130  3 Mg 2.78, 4 Au 2.89-3.08, 4 Lu 2.98-3.03
Au 0.3333 0.6667 0.5870  3 Mg 2.78, 4 Au 2.89-3.08, 4 Lu 2.98-3.03
Au 0.6667 0.3333 0.4130  3 Mg 2.78, 4 Au 2.89-3.08, 4 Lu 2.98-3.03
Mg 0.0000 0.0000 0.5000  6 Au 2.78
Mg 0.0000 0.0000 0.0000  6 Au 2.78
Lu 0.6667 0.3333 0.7500  8 Au 2.98-3.03
Lu 0.3333 0.6667 0.2500  8 Au 2.98-3.03

symmetry = P6_3/mmc (194)
total DFT energy (no corrections) = -31.3 eV per cell


5.
## CoReAgB (PBE-GGA)

Data for a geometry-optimized CoReAgB structure.

Cell: 4.1279 4.1279 4.1279 Å, 60.00 60.00 60.00°
Closest atoms and distances in Å follow each position.
Fractional positions:
Re 0.2500 0.2500 0.2500  4 B 2.53, 4 Ag 2.53
Ag 0.5000 0.5000 0.5000  4 Co 2.53, 4 Re 2.53
Co 0.7500 0.7500 0.7500  4 B 2.53, 4 Ag 2.53
B 0.0000 0.0000 0.0000  4 Co 2.53, 4 Re 2.53

symmetry = F-43m (216)
excess energy over the best structure of this formula in the dataset = 0.00 eV per formula unit


6.
## Rb2TmScS4 (PBE-GGA)

Data for a geometry-optimized Rb2TmScS4 structure.

Cell: 3.9326 3.9326 15.2598 Å, 90.00 90.00 120.00°
Closest atoms and distances in Å follow each position.
Fractional positions:
Sc 0.0000 0.0000 0.0000  6 S 2.65
Rb 0.3333 0.6667 0.7536  6 S 3.29-3.30
Rb 0.6667 0.3333 0.2464  6 S 3.29-3.30
S 0.6667 0.3333 0.5975  3 Tm 2.71
S 0.6667 0.3333 0.9103  3 Sc 2.65
S 0.3333 0.6667 0.0897  3 Sc 2.65
S 0.3333 0.6667 0.4025  3 Tm 2.71
Tm 0.0000 0.0000 0.5000  6 S 2.71

symmetry = P-3m1 (164)
total DFT energy (no corrections) = -43.4 eV per cell


7.
## NbAgAsO (PBE-GGA)

Data for a geometry-optimized NbAgAsO structure.

Cell: 3.3404 6.7924 6.7171 Å, 90.00 90.00 90.00°
Closest atoms and distances in Å follow each position.
Fractional positions:
Ag 0.0000 0.6705 0.5171  2 As 2.50-2.58, 2 O 2.53
Ag 0.0000 0.3295 0.0171  2 As 2.50-2.58, 2 O 2.53
Nb 0.5000 0.0654 0.5323  2 O 1.96-1.99
Nb 0.5000 0.9346 0.0323  2 O 1.96-1.99
O 0.5000 0.8658 0.3153  2 Nb 1.96-1.99
O 0.5000 0.1342 0.8153  2 Nb 1.96-1.99
As 0.0000 0.3130 0.3893  2 Ag 2.50-2.58, 2 Nb 2.56
As 0.0000 0.6870 0.8893  2 Ag 2.50-2.58, 2 Nb 2.56

symmetry = Pmc2_1 (26)
excess energy over the best structure of this formula in the dataset = 0.32 eV per formula unit


8.
## GdAuSeO (PBE-GGA)

Data for a geometry-optimized GdAuSeO structure.

Cell: 5.7612 5.7564 11.2020 Å, 90.00 92.22 90.00°
Closest atoms and distances in Å follow each position.
Fractional positions:
Au 0.9969 0.3423 0.2720  2 Se 2.45-2.46
Au 0.6842 0.5956 0.4965  2 Se 2.43
Au 0.3158 0.0956 0.5035  2 Se 2.43
Au 0.0031 0.8423 0.7280  2 Se 2.45-2.46
Gd 0.5069 0.3199 0.0952  4 O 2.29-2.31
Gd 0.4931 0.8199 0.9048  4 O 2.29-2.31
Gd 0.9937 0.3187 0.9055  4 O 2.28-2.30
Gd 0.0063 0.8187 0.0945  4 O 2.28-2.30
Se 0.7003 0.5438 0.7117  2 Au 2.43-2.45
Se 0.2997 0.0438 0.2883  2 Au 2.43-2.45
Se 0.3064 0.1427 0.7188  2 Au 2.43-2.46
Se 0.6936 0.6427 0.2812  2 Au 2.43-2.46
O 0.2514 0.5686 0.9998  4 Gd 2.29-2.30
O 0.7486 0.0686 0.0002  4 Gd 2.29-2.30
O 0.2494 0.0684 0.0017  4 Gd 2.28-2.31
O 0.7506 0.5684 0.9983  4 Gd 2.28-2.31

symmetry = P2_1 (4)
total DFT energy (no corrections) = -95.9 eV per cell